1.
DFT (PBE) results for crystalline Hf3Ti4Pb at its relaxed geometry. Values from VASP.

Geometry as Quantum ESPRESSO input:
```
&SYSTEM
  ibrav = 0, nat = 16, ntyp = 3
/
ATOMIC_SPECIES
Hf 178.49 Hf.upf
Ti 47.87 Ti.upf
Pb 207.20 Pb.upf
CELL_PARAMETERS angstrom
9.9642 0.0000 0.0000
0.0000 6.1770 0.0000
0.0000 0.0000 5.1884
ATOMIC_POSITIONS angstrom
Hf 0.0000 0.0000 0.0000
Hf 2.4911 0.0000 2.0574
Hf 2.4911 3.0885 1.7617
Hf 4.9821 0.0000 0.0000
Hf 7.4732 0.0000 3.1310
Hf 7.4732 3.0885 3.4268
Ti 0.0000 1.5731 2.5942
Ti 0.0000 4.6039 2.5942
Ti 2.4911 1.6490 4.3759
Ti 2.4911 4.5280 4.3759
Ti 4.9821 1.5731 2.5942
Ti 4.9821 4.6039 2.5942
Ti 7.4732 1.6490 0.8126
Ti 7.4732 4.5280 0.8126
Pb 0.0000 3.0885 0.0000
Pb 4.9821 3.0885 0.0000
```

Output
Energy of formation (eV per atom): 0.041


2.
DFT (PBE) results for crystalline Hf5Ti2Pb4 at its relaxed geometry. Values from VASP.

Geometry as Quantum ESPRESSO input:
```
&SYSTEM
  ibrav = 0, nat = 11, ntyp = 3
/
ATOMIC_SPECIES
Hf 178.49 Hf.upf
Ti 47.87 Ti.upf
Pb 207.20 Pb.upf
CELL_PARAMETERS angstrom
-1.5489 4.2391 11.4222
1.5489 -4.2391 11.4222
1.5489 4.2391 -11.4222
ATOMIC_POSITIONS angstrom
Hf 0.0000 0.0000 0.0000
Hf 1.5489 -1.6311 4.5663
Hf 1.5489 1.6311 4.5663
Hf 0.0000 2.6079 6.8559
Hf 0.0000 5.8702 6.8559
Ti 1.5489 0.0000 2.3450
Ti 0.0000 4.2391 9.0771
Pb 1.5489 2.6148 0.0000
Pb 1.5489 0.0000 7.4683
Pb 0.0000 4.2391 3.9539
Pb 0.0000 1.6243 11.4222
```

Output
Energy of formation (eV per atom): 0.517


3.
DFT (PBE) results for crystalline Hf3Ti3Pb at its relaxed geometry. Values from VASP.

Geometry as Quantum ESPRESSO input:
```
&SYSTEM
  ibrav = 0, nat = 14, ntyp = 3
/
ATOMIC_SPECIES
Hf 178.49 Hf.upf
Ti 47.87 Ti.upf
Pb 207.20 Pb.upf
CELL_PARAMETERS angstrom
8.2825 0.0000 0.0000
-4.1412 7.1728 0.0000
0.0000 0.0000 4.8096
ATOMIC_POSITIONS angstrom
Hf -0.3712 1.8385 1.2024
Hf -2.3634 6.5750 1.2024
Hf 1.4066 1.2407 3.6072
Hf 2.7346 5.9321 1.2024
Hf 6.5047 0.5978 3.6072
Hf 4.5124 5.3343 3.6072
Ti -1.3068 3.6224 3.6072
Ti -0.3508 6.4934 3.6072
Ti 1.6576 4.2299 3.6072
Ti 2.4837 2.9429 1.2024
Ti 4.4920 0.6795 1.2024
Ti 5.4480 3.5505 1.2024
Pb 0.0000 4.7819 1.2024
Pb 4.1412 2.3909 3.6072
```

Output
Energy of formation (eV per atom): 0.033


no.,calculated total energy (eV/cell)
1,-129.643
2,-74.702
3,-114.048